A plane-wave DFT calculation with GGA-PBE was carried out for a geometry-optimized RbPa2Hg2O7 structure.

abc: 22.5489 4.3393 4.3515
angles: 90.00 95.45 90.00
Space group C2/m (No. 12)
Inequivalent atoms, fractional coordinates:
Rb1 0.0000 0.0000 0.0000
Pa1 0.0983 0.5000 0.5483
Hg1 0.2323 0.0000 0.7894
O1 0.0000 0.5000 0.5000
O2 0.0962 0.5000 0.0472
O3 0.0984 0.0000 0.5496
O4 0.2018 0.5000 0.6113

Summary:
total magnetic moment = 0.00 μB/f.u.
formation energy (no corrections) = -2.34 eV per atom